VASP calculation (PBE) on an optimized crystal structure of Ac5CuSn2.

Structure (CIF):
```
data_Ac5CuSn2
_cell_length_a 7.209
_cell_length_b 7.216
_cell_length_c 7.221
_cell_angle_alpha 115.49
_cell_angle_beta 115.46
_cell_angle_gamma 97.97
_symmetry_space_group_name_H-M 'P 1'
_symmetry_Int_Tables_number 1
loop_
_symmetry_equiv_pos_as_xyz
'x,y,z'
loop_
_atom_site_label
_atom_site_fract_x
_atom_site_fract_y
_atom_site_fract_z
_atom_site_occupancy
Ac1 0.000 0.000 0.000 1
Ac2 0.001 0.500 0.499 1
Ac3 0.002 0.004 0.500 1
Ac4 0.499 0.998 0.499 1
Ac5 0.500 0.500 0.998 1
Cu1 0.448 0.443 0.497 1
Sn1 0.001 0.500 0.998 1
Sn2 0.502 0.003 0.001 1
```

Electronic total energy in eV per atom: -4.32
Formation enthalpy at 0 K in eV per atom: -0.2379
Magnetization in μB per formula unit: 0.00